[1]
Computed, not measured: a relaxed SrLa3Be crystal at the GGA-PBEsol level of DFT.

Unit cell a=5.6935 b=5.6935 c=5.6935 alpha=90.00 beta=90.00 gamma=90.00
Last column: nearest neighbours and their distance in Å.
Space group Pm-3m (No. 221)
One atom of each set of equivalent atoms:
Sr 0.0000 0.0000 0.0000 (multiplicity 1)  6 La 2.85
La 0.0000 0.0000 0.5000 (multiplicity 3)  2 Sr 2.85
Be 0.5000 0.5000 0.5000 (multiplicity 1)  12 La 4.03

VASP energy ... -14.92 eV for the cell shown
DOS at the Fermi energy ... 1.64 states/eV per atom
E_form ... 1391.7 meV/atom



[2]
Computed, not measured: a relaxed LaTa2Be crystal at the GGA-PBEsol level of DFT.

Unit cell a=10.2131 b=2.9025 c=5.1275 alpha=90.00 beta=104.03 gamma=90.00
Last column: nearest neighbours and their distance in Å.
Space group C2/m (No. 12)
One atom of each set of equivalent atoms:
La 0.0000 0.0000 0.0000 (multiplicity 2)  2 La 2.90, 2 Ta 2.91, 4 Be 2.95
Ta 0.2114 0.0000 0.7081 (multiplicity 4)  2 Be 2.61, 4 Ta 2.85-2.90, 1 La 2.91
Be 0.0000 0.5000 0.5000 (multiplicity 2)  4 Ta 2.61, 2 Be 2.90

VASP energy ... -65.90 eV for the cell shown
DOS at the Fermi energy ... 0.69 states/eV per atom
E_form ... 375.0 meV/atom



[3]
Computed, not measured: a relaxed LaTa3Be crystal at the GGA-PBEsol level of DFT.

Unit cell a=4.8188 b=4.8188 c=4.8188 alpha=90.00 beta=90.00 gamma=90.00
Last column: nearest neighbours and their distance in Å.
Space group Pm-3m (No. 221)
One atom of each set of equivalent atoms:
La 0.0000 0.0000 0.0000 (multiplicity 1)  6 Ta 2.41
Ta 0.0000 0.0000 0.5000 (multiplicity 3)  2 La 2.41
Be 0.5000 0.5000 0.5000 (multiplicity 1)  12 Ta 3.41

VASP energy ... -34.18 eV for the cell shown
DOS at the Fermi energy ... 0.74 states/eV per atom
E_form ... 2563.5 meV/atom



[4]
Computed, not measured: a relaxed LaTaBe4 crystal at the GGA-PBEsol level of DFT.

Unit cell a=6.8429 b=6.8429 c=6.8429 alpha=90.00 beta=90.00 gamma=90.00
Last column: nearest neighbours and their distance in Å.
Space group F-43m (No. 216)
One atom of each set of equivalent atoms:
La 0.0000 0.0000 0.0000 (multiplicity 4)  12 Be 2.85, 4 Ta 2.96
Ta 0.2500 0.2500 0.2500 (multiplicity 4)  12 Be 2.83, 4 La 2.96
Be 0.1203 0.1203 0.6203 (multiplicity 16)  6 Be 2.33-2.51

VASP energy ... -129.79 eV for the cell shown
DOS at the Fermi energy ... 0.76 states/eV per atom
E_form ... 241.6 meV/atom